Be2CdPt | GGA-PBE | optimized geometry

Calculated values
The calculation puts the total moment at 0.0 μB per formula unit. For the formation energy, the calculation gives 2.5 kcal/mol of atoms.

abc: 6.0661 6.0661 6.0661
angles: 90.00 90.00 90.00
With the nearest neighbours (Å) after each atom.
Sites, in units of the cell vectors:
Be1 0.0000 0.0000 0.0000  4 Be 2.63, 4 Cd 2.63
Be2 0.0000 0.5000 0.5000  4 Cd 2.63, 4 Be 2.63
Be3 0.2500 0.2500 0.2500  4 Be 2.63, 4 Pt 2.63
Be4 0.2500 0.7500 0.7500  4 Be 2.63, 4 Pt 2.63
Be5 0.5000 0.0000 0.5000  4 Cd 2.63, 4 Be 2.63
Be6 0.5000 0.5000 0.0000  4 Cd 2.63, 4 Be 2.63
Be7 0.7500 0.2500 0.7500  4 Be 2.63, 4 Pt 2.63
Be8 0.7500 0.7500 0.2500  4 Be 2.63, 4 Pt 2.63
Cd1 0.2500 0.2500 0.7500  4 Be 2.63, 4 Pt 2.63
Cd2 0.2500 0.7500 0.2500  4 Be 2.63, 4 Pt 2.63
Cd3 0.7500 0.2500 0.2500  4 Be 2.63, 4 Pt 2.63
Cd4 0.7500 0.7500 0.7500  4 Pt 2.63, 4 Be 2.63
Pt1 0.0000 0.0000 0.5000  4 Cd 2.63, 4 Be 2.63
Pt2 0.0000 0.5000 0.0000  4 Cd 2.63, 4 Be 2.63
Pt3 0.5000 0.0000 0.0000  4 Cd 2.63, 4 Be 2.63
Pt4 0.5000 0.5000 0.5000  4 Cd 2.63, 4 Be 2.63